The following is a DFT calculation (GGA-PBEsol) of a relaxed MnAlP2 crystal. Values from VASP.

Values from the calculation:
As for the magnetic moment: 0.00 μB per cell. The calculated total energy is -6.5130 eV/atom. The space group is C2/m, No. 12. The density of states at the Fermi level is 0.5403 states/eV/atom.

The structure in Quantum ESPRESSO input format:
```
&SYSTEM
  ibrav = 0, nat = 4, ntyp = 3
/
ATOMIC_SPECIES
P 30.97 P.upf
Mn 54.94 Mn.upf
Al 26.98 Al.upf
CELL_PARAMETERS angstrom
-0.208 0.877 -2.878
1.103 -3.811 0.338
-4.580 -0.752 0.102
ATOMIC_POSITIONS crystal
P 0.228 0.456 0.198
Mn 0.500 0.000 0.000
P 0.772 0.544 0.802
Al 0.000 0.000 0.500
```

***

The following is a DFT calculation (GGA-PBEsol) of a relaxed Zr2ScCo crystal. Values from VASP.

Values from the calculation:
The relative energy among the computed polymorphs comes out at 0.000 eV per atom. As for the magnetic moment: 0.13 μB per cell. The calculated total energy is -8.2757 eV/atom. The space group is P4mm, No. 99. The density of states at the Fermi level is 1.3685 states/eV/atom.

The structure in Quantum ESPRESSO input format:
```
&SYSTEM
  ibrav = 0, nat = 4, ntyp = 3
/
ATOMIC_SPECIES
Zr 91.22 Zr.upf
Co 58.93 Co.upf
Sc 44.96 Sc.upf
CELL_PARAMETERS angstrom
-0.358 0.571 3.099
2.829 -1.316 0.569
3.256 6.632 -0.847
ATOMIC_POSITIONS crystal
Zr 0.000 0.000 0.010
Co 0.000 0.000 0.493
Sc 0.500 0.500 0.701
Zr 0.500 0.500 0.296
```

***

The following is a DFT calculation (GGA-PBEsol) of a relaxed SiW2IF crystal. Values from VASP.

Values from the calculation:
As for the magnetic moment: 0.00 μB per cell. The calculated total energy is -6.0153 eV/atom. The space group is P4/mmm, No. 123. The value obtained for the formation energy (no corrections) is 6.98 eV/f.u. The density of states at the Fermi level is 1.1044 states/eV/atom.

The structure in Quantum ESPRESSO input format:
```
&SYSTEM
  ibrav = 0, nat = 5, ntyp = 4
/
ATOMIC_SPECIES
I 126.90 I.upf
F 19.00 F.upf
Si 28.09 Si.upf
W 183.84 W.upf
CELL_PARAMETERS angstrom
-2.472 2.990 -1.366
0.269 -1.519 -3.813
-4.180 -3.038 0.915
ATOMIC_POSITIONS crystal
I 0.000 0.000 0.500
F 0.000 0.000 0.000
Si 0.500 0.500 0.500
W 0.000 0.500 0.000
W 0.500 0.000 0.000
```

***

The following is a DFT calculation (GGA-PBEsol) of a relaxed BePRu2 crystal. Values from VASP.

Values from the calculation:
The relative energy among the computed polymorphs comes out at 0.811 eV per atom. As for the magnetic moment: 0.00 μB per cell. The calculated total energy is -7.2347 eV/atom. The space group is Cmm2, No. 35. The density of states at the Fermi level is 0.8921 states/eV/atom.

The structure in Quantum ESPRESSO input format:
```
&SYSTEM
  ibrav = 0, nat = 4, ntyp = 3
/
ATOMIC_SPECIES
Ru 101.07 Ru.upf
P 30.97 P.upf
Be 9.01 Be.upf
CELL_PARAMETERS angstrom
-1.319 2.133 -0.884
-0.277 -0.628 2.569
6.219 4.589 1.792
ATOMIC_POSITIONS crystal
Ru 0.500 0.500 0.728
P 0.500 0.500 0.254
Be 0.000 0.000 0.501
Ru 0.000 0.000 0.017
```

***

The following is a DFT calculation (GGA-PBEsol) of a relaxed In2CuTe crystal. Values from VASP.

Values from the calculation:
As for the magnetic moment: 0.00 μB per cell. The calculated total energy is -3.3974 eV/atom. The space group is Immm, No. 71. The value obtained for the formation energy (no corrections) is 0.24 eV/f.u. The density of states at the Fermi level is 0.3594 states/eV/atom.

The structure in Quantum ESPRESSO input format:
```
&SYSTEM
  ibrav = 0, nat = 4, ntyp = 3
/
ATOMIC_SPECIES
Cu 63.55 Cu.upf
In 114.82 In.upf
Te 127.60 Te.upf
CELL_PARAMETERS angstrom
-2.762 1.807 1.568
0.176 -2.534 3.231
5.376 4.192 0.380
ATOMIC_POSITIONS crystal
Cu 0.500 0.000 0.000
In 0.189 0.189 0.377
Te 0.000 0.500 0.000
In 0.811 0.811 0.623
```

***

The following is a DFT calculation (GGA-PBEsol) of a relaxed LiTc2BiH crystal. Values from VASP.

Values from the calculation:
As for the magnetic moment: 0.95 μB per cell. The calculated total energy is -4.6127 eV/atom. The space group is P4/mmm, No. 123. The density of states at the Fermi level is 1.1881 states/eV/atom.

The structure in Quantum ESPRESSO input format:
```
&SYSTEM
  ibrav = 0, nat = 5, ntyp = 4
/
ATOMIC_SPECIES
H 1.01 H.upf
Tc 98.00 Tc.upf
Bi 208.98 Bi.upf
Li 6.94 Li.upf
CELL_PARAMETERS angstrom
4.125 0.000 0.000
0.000 4.125 0.000
0.000 0.000 4.588
ATOMIC_POSITIONS crystal
H 0.500 0.500 0.500
Tc 0.000 0.500 0.000
Bi 0.000 0.000 0.500
Tc 0.500 0.000 0.000
Li 0.000 0.000 0.000
```

***

The following is a DFT calculation (GGA-PBEsol) of a relaxed Ca4YCo crystal. Values from VASP.

Values from the calculation:
As for the magnetic moment: 1.28 μB per cell. The calculated total energy is -2.9963 eV/atom. The space group is F-43m, No. 216. The density of states at the Fermi level is 1.7859 states/eV/atom.

The structure in Quantum ESPRESSO input format:
```
&SYSTEM
  ibrav = 0, nat = 6, ntyp = 3
/
ATOMIC_SPECIES
Ca 40.08 Ca.upf
Y 88.91 Y.upf
Co 58.93 Co.upf
CELL_PARAMETERS angstrom
-0.414 -2.548 6.009
5.125 0.325 4.050
-0.199 3.940 5.216
ATOMIC_POSITIONS crystal
Ca 0.873 0.376 0.376
Ca 0.376 0.873 0.376
Ca 0.376 0.376 0.376
Ca 0.376 0.376 0.873
Y 0.000 0.000 0.000
Co 0.750 0.750 0.750
```

***

The following is a DFT calculation (GGA-PBEsol) of a relaxed ZrAu5 crystal. Values from VASP.

Values from the calculation:
As for the magnetic moment: 0.00 μB per cell. The calculated total energy is -5.1265 eV/atom. The space group is P-62m, No. 189. The density of states at the Fermi level is 0.5217 states/eV/atom.

The structure in Quantum ESPRESSO input format:
```
&SYSTEM
  ibrav = 0, nat = 6, ntyp = 2
/
ATOMIC_SPECIES
Au 196.97 Au.upf
Zr 91.22 Zr.upf
CELL_PARAMETERS angstrom
4.867 0.000 0.000
0.000 4.987 0.000
0.000 -2.493 4.319
ATOMIC_POSITIONS crystal
Au 0.000 0.328 0.328
Au 0.500 0.333 0.667
Au 0.500 0.667 0.333
Au 0.000 0.000 0.672
Au 0.000 0.672 0.000
Zr 0.500 0.000 0.000
```

***

The following is a DFT calculation (GGA-PBEsol) of a relaxed HfH2PtN crystal. Values from VASP.

Values from the calculation:
The relative energy among the computed polymorphs comes out at 0.000 eV per atom. As for the magnetic moment: 0.00 μB per cell. The calculated total energy is -6.9586 eV/atom. The space group is P4/mmm, No. 123. The density of states at the Fermi level is 0.3196 states/eV/atom.

The structure in Quantum ESPRESSO input format:
```
&SYSTEM
  ibrav = 0, nat = 5, ntyp = 4
/
ATOMIC_SPECIES
Hf 178.49 Hf.upf
N 14.01 N.upf
H 1.01 H.upf
Pt 195.08 Pt.upf
CELL_PARAMETERS angstrom
3.183 0.000 0.000
0.000 3.183 0.000
0.000 0.000 5.588
ATOMIC_POSITIONS crystal
Hf 0.000 0.000 0.500
N 0.500 0.500 0.500
H 0.500 0.000 0.000
Pt 0.000 0.000 0.000
H 0.000 0.500 0.000
```

***

The following is a DFT calculation (GGA-PBEsol) of a relaxed La2TeBr crystal. Values from VASP.

Values from the calculation:
The relative energy among the computed polymorphs comes out at 0.000 eV per atom. As for the magnetic moment: 0.00 μB per cell. The calculated total energy is -5.4912 eV/atom. The space group is R-3m, No. 166. The value obtained for the formation energy (no corrections) is -5.88 eV/f.u. The density of states at the Fermi level is 0.7284 states/eV/atom.

The structure in Quantum ESPRESSO input format:
```
&SYSTEM
  ibrav = 0, nat = 4, ntyp = 3
/
ATOMIC_SPECIES
Te 127.60 Te.upf
La 138.91 La.upf
Br 79.90 Br.upf
CELL_PARAMETERS angstrom
4.459 0.000 0.000
2.229 3.861 0.000
2.229 1.287 6.900
ATOMIC_POSITIONS crystal
Te 0.500 0.500 0.500
La 0.255 0.255 0.235
La 0.745 0.745 0.765
Br 0.000 0.000 0.000
```

***

The following is a DFT calculation (GGA-PBEsol) of a relaxed Rb2IrPt crystal. Values from VASP.

Values from the calculation:
As for the magnetic moment: 0.97 μB per cell. The calculated total energy is -3.1867 eV/atom. The space group is Fm-3m, No. 225. The density of states at the Fermi level is 2.5838 states/eV/atom.

The structure in Quantum ESPRESSO input format:
```
&SYSTEM
  ibrav = 0, nat = 4, ntyp = 3
/
ATOMIC_SPECIES
Pt 195.08 Pt.upf
Ir 192.22 Ir.upf
Rb 85.47 Rb.upf
CELL_PARAMETERS angstrom
5.253 0.000 0.000
2.626 4.549 0.000
2.626 1.516 4.289
ATOMIC_POSITIONS crystal
Pt 0.500 0.500 0.500
Ir 0.000 0.000 0.000
Rb 0.750 0.750 0.750
Rb 0.250 0.250 0.250
```

***

The following is a DFT calculation (GGA-PBEsol) of a relaxed BaZrOs2 crystal. Values from VASP.

Values from the calculation:
The relative energy among the computed polymorphs comes out at 0.000 eV per atom. As for the magnetic moment: 0.00 μB per cell. The calculated total energy is -8.0017 eV/atom. The space group is Immm, No. 71. The density of states at the Fermi level is 0.6153 states/eV/atom.

The structure in Quantum ESPRESSO input format:
```
&SYSTEM
  ibrav = 0, nat = 4, ntyp = 3
/
ATOMIC_SPECIES
Os 190.23 Os.upf
Zr 91.22 Zr.upf
Ba 137.33 Ba.upf
CELL_PARAMETERS angstrom
-1.225 2.379 1.721
-4.750 -1.900 -0.754
3.411 -2.852 3.430
ATOMIC_POSITIONS crystal
Os 0.768 0.768 0.535
Os 0.232 0.232 0.465
Zr 0.500 0.000 0.000
Ba 0.000 0.500 0.000
```